DyPa2In9, relaxed, DFT GGA-PBE; DFT total energy = -4.2474 eV per atom; magnetization = 2.1 μB per formula unit; ΔE_f = -0.23 eV/atom
1.0
4.644 0.000 0.000
0.000 4.644 0.000
0.000 0.000 13.911
In Pa Dy
9 2 1
direct
0.000 0.500 0.500
0.500 0.000 0.166
0.000 0.500 0.166
0.500 0.000 0.834
0.500 0.500 0.334
0.500 0.000 0.500
0.000 0.500 0.834
0.500 0.500 0.000
0.500 0.500 0.666
0.000 0.000 0.333
0.000 0.000 0.667
0.000 0.000 0.000

Dy2PaIn9, relaxed, DFT GGA-PBE; DFT total energy = -3.9347 eV per atom; magnetization = 0.7 μB per formula unit; ΔE_f = -0.32 eV/atom
1.0
-2.401 0.014 -3.961
3.796 -1.312 -2.306
-3.395 -13.355 2.012
In Dy Pa
9 2 1
direct
0.000 0.500 0.500
0.500 0.500 0.667
0.500 0.500 0.000
0.000 0.500 0.167
0.500 0.000 0.167
0.500 0.000 0.500
0.500 0.500 0.333
0.500 0.000 0.833
0.000 0.500 0.833
0.000 0.000 0.667
0.000 0.000 0.333
0.000 0.000 0.000

DyPaIn, relaxed, DFT GGA-PBE; DFT total energy = -5.4182 eV per atom; magnetization = 0.7 μB per formula unit; E above lowest polymorph = 237 meV/atom; ΔE_f = 0.19 eV/atom
1.0
3.099 0.000 0.000
0.000 5.345 0.000
0.000 -2.673 4.629
Dy Pa In
1 1 1
direct
0.166 0.667 0.333
0.167 0.000 0.000
0.667 0.333 0.667

DyPaIn2, relaxed, DFT GGA-PBE; DFT total energy = -5.0091 eV per atom; magnetization = 0.0 μB per formula unit; E above lowest polymorph = 93 meV/atom; ΔE_f = -0.12 eV/atom
1.0
-0.679 -1.746 2.740
-1.162 -3.098 -0.252
9.645 -5.469 0.915
Pa In Dy
1 2 1
direct
0.500 0.500 0.500
0.251 0.251 0.248
0.749 0.749 0.752
0.000 0.000 0.000

Dy2PaIn, relaxed, DFT GGA-PBE; DFT total energy = -5.4028 eV per atom; magnetization = 0.0 μB per formula unit; E above lowest polymorph = 73 meV/atom; ΔE_f = -0.04 eV/atom
1.0
4.567 0.000 0.000
0.000 4.856 0.000
0.000 0.000 4.856
In Pa Dy
1 1 2
direct
0.500 0.000 0.000
0.500 0.500 0.500
0.000 0.500 0.000
0.000 0.000 0.500

Dy2PaIn, relaxed, DFT GGA-PBE; DFT total energy = -5.2106 eV per atom; magnetization = 0.0 μB per formula unit; E above lowest polymorph = 265 meV/atom; ΔE_f = 0.15 eV/atom
1.0
3.400 0.000 0.000
1.700 2.945 0.000
1.700 0.982 11.850
Dy In Pa
2 1 1
direct
0.090 0.090 0.730
0.910 0.910 0.270
0.000 0.000 0.000
0.500 0.500 0.500